1.
The following is a PBE calculation of a relaxed NdAsIO4 crystal, from Alexandria.

Summary:
Crystal system: monoclinic
Total magnetization, μB per formula unit: 0.0
Energy, eV per atom: -6.25

```
NdAsIO4
1.0
6.007 -3.286 0.000
6.007 3.286 0.000
-1.400 0.000 6.850
Nd As I O
2 2 2 8
Direct
0.201 0.201 0.322
0.799 0.799 0.678
0.135 0.135 0.755
0.865 0.865 0.245
0.470 0.470 0.806
0.530 0.530 0.194
0.009 0.009 0.271
0.021 0.618 0.374
0.200 0.200 0.994
0.382 0.979 0.626
0.618 0.021 0.374
0.800 0.800 0.006
0.979 0.382 0.626
0.991 0.991 0.729
```



2.
The following is a PBE calculation of a relaxed Nd8AsP3I4 crystal, from Alexandria.

Summary:
Crystal system: trigonal
Total magnetization, μB per formula unit: 0.0
Energy, eV per atom: -5.43

```
Nd8AsP3I4
1.0
4.261 2.460 7.680
-4.261 2.460 7.680
0.000 -4.921 7.680
Nd As P I
8 1 3 4
Direct
0.220 0.734 0.734
0.229 0.229 0.229
0.266 0.266 0.780
0.266 0.780 0.266
0.734 0.220 0.734
0.734 0.734 0.220
0.771 0.771 0.771
0.780 0.266 0.266
0.500 0.500 0.500
0.000 0.000 0.500
0.000 0.500 0.000
0.500 0.000 0.000
0.000 0.000 0.000
0.000 0.500 0.500
0.500 0.000 0.500
0.500 0.500 0.000
```



3.
The following is a PBE calculation of a relaxed Nd6As2P3I crystal, from Alexandria.

Summary:
Crystal system: monoclinic
Total magnetization, μB per formula unit: 0.0
Energy, eV per atom: -6.12

```
Nd6As2P3I
1.0
9.296 -2.114 0.000
9.296 2.114 0.000
-2.050 0.000 8.357
Nd As P I
6 2 3 1
Direct
0.001 0.001 0.218
0.322 0.322 0.414
0.334 0.334 0.914
0.666 0.666 0.086
0.678 0.678 0.586
0.999 0.999 0.782
0.166 0.166 0.830
0.834 0.834 0.170
0.164 0.164 0.334
0.500 0.500 0.000
0.836 0.836 0.666
0.500 0.500 0.500
```



4.
The following is a PBE calculation of a relaxed Nd8AsPt3I4 crystal, from Alexandria.

Summary:
Crystal system: trigonal
Total magnetization, μB per formula unit: 0.0
Energy, eV per atom: -5.32

```
Nd8AsPt3I4
1.0
4.325 2.497 7.935
-4.325 2.497 7.935
0.000 -4.994 7.935
Nd As Pt I
8 1 3 4
Direct
0.221 0.735 0.735
0.228 0.228 0.228
0.265 0.265 0.779
0.265 0.779 0.265
0.735 0.221 0.735
0.735 0.735 0.221
0.772 0.772 0.772
0.779 0.265 0.265
0.500 0.500 0.500
0.000 0.000 0.500
0.000 0.500 0.000
0.500 0.000 0.000
0.000 0.000 0.000
0.000 0.500 0.500
0.500 0.000 0.500
0.500 0.500 0.000
```



5.
The following is a PBE calculation of a relaxed Nd4AsRhI2 crystal, from Alexandria.

Summary:
Crystal system: monoclinic
Total magnetization, μB per formula unit: 0.0
Energy, eV per atom: -5.34

```
Nd4AsRhI2
1.0
7.727 0.000 0.000
0.000 4.171 0.000
-2.314 0.000 7.825
Nd As Rh I
4 1 1 2
Direct
0.211 0.000 0.186
0.260 0.500 0.806
0.740 0.500 0.194
0.789 0.000 0.814
0.500 0.000 0.000
0.000 0.500 0.000
0.000 0.000 0.500
0.500 0.500 0.500
```



6.
The following is a PBE calculation of a relaxed Nd8AsRh3I4 crystal, from Alexandria.

Summary:
Crystal system: trigonal
Total magnetization, μB per formula unit: 0.0
Energy, eV per atom: -5.42

```
Nd8AsRh3I4
1.0
4.260 2.459 8.024
-4.260 2.459 8.024
0.000 -4.919 8.024
Nd As Rh I
8 1 3 4
Direct
0.214 0.736 0.736
0.229 0.229 0.229
0.264 0.264 0.786
0.264 0.786 0.264
0.736 0.214 0.736
0.736 0.736 0.214
0.771 0.771 0.771
0.786 0.264 0.264
0.500 0.500 0.500
0.000 0.000 0.500
0.000 0.500 0.000
0.500 0.000 0.000
0.000 0.000 0.000
0.000 0.500 0.500
0.500 0.000 0.500
0.500 0.500 0.000
```



Number 1: formation energy without anion corrections -1.848 eV per atom. Number 2: formation energy without anion corrections -1.353 eV per atom. Number 3: formation energy without anion corrections -1.475 eV per atom. Number 4: formation energy without anion corrections -1.123 eV per atom. Number 5: formation energy without anion corrections -1.066 eV per atom. Number 6: formation energy without anion corrections -0.979 eV per atom.